Density functional theory data (PBE+U) for a relaxed DyEr2MoO6 crystal.

Structure (extended XYZ):
```
10
Lattice="-0.8415 -4.1648 3.7895 3.5631 -4.4381 0.1926 3.7692 -0.4258 4.6414" Properties=species:S:1:pos:R:3 pbc="T T T"
O 4.2393 -2.6797 4.0686
O 2.7086 -3.7910 6.2084
O 5.0137 -5.1715 5.2358
O 2.3490 -6.6792 4.8044
O 1.1849 -3.5815 3.5284
O 4.0812 -5.0940 2.1457
Er 3.5874 -0.5810 4.4314
Er 3.0101 -4.7151 4.0398
Dy 4.3756 -7.1921 5.8965
Mo 1.0406 -2.7537 1.4818
```

Computed properties:
Raw total energy, eV per atom: -8.13
Total magnetization, μB/atom: 0.300
Symmetry: R3 (146)
Density of states at the Fermi level, states/eV/cell: 0.00